{
  "formula": "SnBSbRu2",
  "functional": "meta-GGA SCAN",
  "state": "PBEsol geometry",
  "magnetic_moment_mub_per_cell": 0.0,
  "spacegroup": "P4/mmm, No. 123",
  "dos_at_fermi_per_ev_atom": 0.418,
  "energy_ev_per_atom": -29.4119,
  "lattice_angstrom": [[4.273, 0.000, 0.000], [0.000, 4.273, 0.000], [0.000, 0.000, 4.410]],
  "species": ["Sn", "Ru", "Ru", "Sb", "B"],
  "fractional_positions": [[0.500, 0.500, 0.500], [0.500, 0.000, 0.000], [0.000, 0.500, 0.000], [0.000, 0.000, 0.500], [0.000, 0.000, 0.000]]
}

---

{
  "formula": "ZnBSbRu2",
  "functional": "meta-GGA SCAN",
  "state": "PBEsol geometry",
  "magnetic_moment_mub_per_cell": 0.0,
  "spacegroup": "P4/mmm, No. 123",
  "dos_at_fermi_per_ev_atom": 0.354,
  "energy_ev_per_atom": -25.4433,
  "lattice_angstrom": [[-0.889, 0.196, 3.837], [2.399, -3.354, 0.727], [3.299, 2.498, 0.636]],
  "species": ["Ru", "Ru", "B", "Zn", "Sb"],
  "fractional_positions": [[0.000, 0.000, 0.500], [0.000, 0.500, 0.000], [0.000, 0.000, 0.000], [0.500, 0.000, 0.000], [0.500, 0.500, 0.500]]
}

---

{
  "formula": "ZnB2SbRu",
  "functional": "meta-GGA SCAN",
  "state": "PBEsol geometry",
  "magnetic_moment_mub_per_cell": 0.9,
  "spacegroup": "P4/mmm, No. 123",
  "dos_at_fermi_per_ev_atom": 0.511,
  "energy_ev_per_atom": -18.0278,
  "lattice_angstrom": [[4.281, 0.000, 0.000], [0.000, 4.281, 0.000], [0.000, 0.000, 5.030]],
  "species": ["B", "B", "Sb", "Zn", "Ru"],
  "fractional_positions": [[0.000, 0.500, 0.000], [0.500, 0.000, 0.000], [0.000, 0.000, 0.000], [0.500, 0.500, 0.500], [0.000, 0.000, 0.500]]
}

---

{
  "formula": "ScB4Ru4",
  "functional": "meta-GGA SCAN",
  "state": "PBEsol geometry",
  "magnetic_moment_mub_per_cell": 0.0,
  "spacegroup": "I4_1/acd, No. 142",
  "dos_at_fermi_per_ev_atom": 0.827,
  "energy_ev_per_atom": -20.8957,
  "formation_enthalpy_0k_ev_per_atom": -0.53,
  "lattice_angstrom": [[7.312, 0.000, 0.000], [0.000, 7.312, 0.000], [-3.656, -3.656, 7.412]],
  "species": ["Ru", "Ru", "Ru", "Ru", "Ru", "Ru", "Ru", "Ru", "Ru", "Ru", "Ru", "Ru", "Ru", "Ru", "Ru", "Ru", "Sc", "Sc", "Sc", "Sc", "B", "B", "B", "B", "B", "B", "B", "B", "B", "B", "B", "B", "B", "B", "B", "B"],
  "fractional_positions": [[0.965, 0.427, 0.623], [0.803, 0.035, 0.377], [0.285, 0.323, 0.877], [0.677, 0.408, 0.123], [0.303, 0.842, 0.377], [0.158, 0.927, 0.623], [0.947, 0.908, 0.123], [0.447, 0.715, 0.123], [0.092, 0.823, 0.877], [0.073, 0.535, 0.377], [0.658, 0.197, 0.623], [0.465, 0.697, 0.623], [0.177, 0.215, 0.123], [0.573, 0.342, 0.377], [0.785, 0.053, 0.877], [0.592, 0.553, 0.877], [0.000, 0.500, 0.000], [0.750, 0.750, 0.500], [0.500, 0.000, 0.000], [0.250, 0.250, 0.500], [0.250, 0.945, 0.162], [0.338, 0.533, 0.338], [0.195, 0.662, 0.662], [0.555, 0.250, 0.838], [0.912, 0.217, 0.162], [0.967, 0.162, 0.662], [0.695, 0.500, 0.662], [0.500, 0.033, 0.338], [0.838, 0.305, 0.338], [0.783, 0.750, 0.838], [0.750, 0.717, 0.162], [0.055, 0.088, 0.838], [0.467, 0.000, 0.662], [0.000, 0.805, 0.338], [0.283, 0.588, 0.838], [0.412, 0.445, 0.162]]
}